VASP calculation (PBE) on crystalline TmBrF2 at its relaxed geometry. Values from VASP.

ΔE_f (raw) = -3320 meV per atom
E_tot = -5.792 eV/atom
Total magnetization = 0.00 μB/cell
Symmetry = Cmcm (63)

Quantum ESPRESSO input file:
```
&SYSTEM
  ibrav = 0, nat = 8, ntyp = 3
/
ATOMIC_SPECIES
Tm 168.93 Tm.upf
Br 79.90 Br.upf
F 19.00 F.upf
ATOMIC_POSITIONS crystal
Tm 0.245 0.755 0.750
Tm 0.755 0.245 0.250
Br 0.043 0.957 0.250
Br 0.957 0.043 0.750
F 0.311 0.689 0.071
F 0.311 0.689 0.429
F 0.689 0.311 0.571
F 0.689 0.311 0.929
CELL_PARAMETERS angstrom
1.848 -5.287 0.000
1.848 5.287 0.000
0.000 0.000 6.917
```